Entry from Alexandria: an optimized crystal structure of CdSb3As (PBEsol).

Cell: 5.351 5.351 5.351 Å, 90.00 90.00 90.00°
Space group Pm-3m (No. 221)
One atom of each set of equivalent atoms:
Cd 0.000 0.000 0.000 (multiplicity 1)
Sb 0.000 0.000 0.500 (multiplicity 3)
As 0.500 0.500 0.500 (multiplicity 1)

## Properties
ΔE to the lowest computed polymorph, eV/atom: 0.341
Calculated total energy, eV per atom: -3.003
Formation energy without anion corrections, eV per atom: 0.9919
M_tot, μB/cell: 0.00

---

Entry from Alexandria: an optimized crystal structure of CaBeSiGe2 (PBEsol).

Cell: 4.697 4.697 5.397 Å, 90.00 90.00 90.00°
Space group P4/mmm (No. 123)
One atom of each set of equivalent atoms:
Ca 0.000 0.000 0.000 (multiplicity 1)
Be 0.500 0.500 0.000 (multiplicity 1)
Si 0.000 0.000 0.500 (multiplicity 1)
Ge 0.000 0.500 0.500 (multiplicity 2)

## Properties
Calculated total energy, eV per atom: -3.637
Formation energy without anion corrections, eV per atom: 0.7146
M_tot, μB/cell: 0.00

---

Entry from Alexandria: an optimized crystal structure of LiCaPb (PBEsol).

Cell: 4.9193 4.9193 10.7727 Å, 90.00 90.00 120.00°
Space group P-6m2 (No. 187)
One atom of each set of equivalent atoms:
Li 0.0000 0.0000 0.0000 (multiplicity 1)
Li 0.6667 0.3333 0.3057 (multiplicity 2)
Ca 0.3333 0.6667 0.1665 (multiplicity 2)
Ca 0.3333 0.6667 0.5000 (multiplicity 1)
Pb 0.0000 0.0000 0.3452 (multiplicity 2)
Pb 0.6667 0.3333 0.0000 (multiplicity 1)

## Properties
Calculated total energy, eV per atom: -3.208
Formation energy, eV/atom: -0.51
M_tot, μB/cell: 0.00

---

Entry from Alexandria: an optimized crystal structure of YSiMo (PBEsol).

Cell: 4.2170 4.2170 3.8151 Å, 90.00 90.00 120.00°
Space group P-6m2 (No. 187)
One atom of each set of equivalent atoms:
Y 0.0000 0.0000 0.0000 (multiplicity 1)
Si 0.6667 0.3333 0.5000 (multiplicity 1)
Mo 0.3333 0.6667 0.5000 (multiplicity 1)

## Properties
Calculated total energy, eV per atom: -8.304
Formation energy without anion corrections, eV per atom: -0.1913
M_tot, μB/cell: 0.00

---

Entry from Alexandria: an optimized crystal structure of LiGa2Ru (PBEsol).

Cell: 5.982 5.982 5.982 Å, 90.00 90.00 90.00°
Space group Fm-3m (No. 225)
One atom of each set of equivalent atoms:
Li 0.000 0.000 0.000 (multiplicity 4)
Ga 0.250 0.250 0.250 (multiplicity 8)
Ru 0.000 0.000 0.500 (multiplicity 4)

## Properties
Calculated total energy, eV per atom: -5.055
Formation energy, eV/atom: -0.35
M_tot, μB/cell: 0.00

---

Entry from Alexandria: an optimized crystal structure of BaZn3Ni (PBEsol).

Cell: 4.691 4.691 4.691 Å, 90.00 90.00 90.00°
Space group Pm-3m (No. 221)
One atom of each set of equivalent atoms:
Ba 0.000 0.000 0.000 (multiplicity 1)
Zn 0.000 0.500 0.500 (multiplicity 3)
Ni 0.500 0.500 0.500 (multiplicity 1)

## Properties
Calculated total energy, eV per atom: -2.770
Formation energy, eV/atom: -0.16
M_tot, μB/cell: 0.00

---

Entry from Alexandria: an optimized crystal structure of ZrTe2Cl (PBEsol).

Cell: 10.127 3.631 5.384 Å, 90.00 103.41 90.00°
Space group C2/m (No. 12)
One atom of each set of equivalent atoms:
Zr 0.000 0.000 0.000 (multiplicity 2)
Te 0.225 0.500 0.215 (multiplicity 4)
Cl 0.000 0.500 0.500 (multiplicity 2)

## Properties
ΔE to the lowest computed polymorph, eV/atom: 0.000
Calculated total energy, eV per atom: -5.073
Formation energy without anion corrections, eV per atom: -0.5351
M_tot, μB/cell: 0.00

---

Entry from Alexandria: an optimized crystal structure of NaFeO2 (PBEsol).

Cell: 5.704 7.172 5.350 Å, 90.00 90.00 90.00°
Space group Pna2_1 (No. 33)
One atom of each set of equivalent atoms:
Na 0.076 0.122 0.000 (multiplicity 4)
Fe 0.067 0.627 0.988 (multiplicity 4)
O 0.045 0.592 0.638 (multiplicity 4)
O 0.111 0.160 0.568 (multiplicity 4)

## Properties
Calculated total energy, eV per atom: -6.530
Formation energy without anion corrections, eV per atom: -1.3149
M_tot, μB/cell: 20.06

---

Entry from Alexandria: an optimized crystal structure of SrCaIr (PBEsol).

Cell: 4.2546 4.2546 6.2689 Å, 90.00 90.00 120.00°
Space group P3m1 (No. 156)
One atom of each set of equivalent atoms:
Sr 0.0000 0.0000 0.0000 (multiplicity 1)
Ca 0.3333 0.6667 0.4538 (multiplicity 1)
Ir 0.6667 0.3333 0.2498 (multiplicity 1)

## Properties
Calculated total energy, eV per atom: -4.521
Formation energy, eV/atom: 0.08
M_tot, μB/cell: 0.00

---

Entry from Alexandria: an optimized crystal structure of NaSr2Mn (PBEsol).

Cell: 8.208 8.208 8.208 Å, 90.00 90.00 90.00°
Space group Fm-3m (No. 225)
One atom of each set of equivalent atoms:
Na 0.000 0.000 0.000 (multiplicity 4)
Sr 0.250 0.250 0.250 (multiplicity 8)
Mn 0.000 0.000 0.500 (multiplicity 4)

## Properties
Calculated total energy, eV per atom: -3.224
Formation energy, eV/atom: 0.49
M_tot, μB/cell: 15.97

---

Entry from Alexandria: an optimized crystal structure of MoPI2O (PBEsol).

Cell: 5.473 5.473 3.471 Å, 90.00 90.00 90.00°
Space group P4/mmm (No. 123)
One atom of each set of equivalent atoms:
Mo 0.000 0.000 0.000 (multiplicity 1)
P 0.500 0.500 0.500 (multiplicity 1)
I 0.000 0.500 0.500 (multiplicity 2)
O 0.500 0.500 0.000 (multiplicity 1)

## Properties
Calculated total energy, eV per atom: -4.791
Formation energy without anion corrections, eV per atom: 0.4777
M_tot, μB/cell: 3.64

---

Entry from Alexandria: an optimized crystal structure of TaInTe2 (PBEsol).

Cell: 9.378 9.378 5.576 Å, 90.00 90.00 90.00°
Space group I-42d (No. 122)
One atom of each set of equivalent atoms:
Ta 0.000 0.000 0.000 (multiplicity 4)
In 0.000 0.000 0.500 (multiplicity 4)
Te 0.118 0.250 0.125 (multiplicity 8)

## Properties
Calculated total energy, eV per atom: -5.514
Formation energy without anion corrections, eV per atom: 0.1321
M_tot, μB/cell: 0.00